(1)
A plane-wave DFT calculation with PBE-GGA was carried out for a relaxed PaNbZn crystal.

Lattice parameters (Å, degrees): 6.500 6.500 6.500 90.00 90.00 90.00
Space group F-43m (No. 216)
Unique sites:
Pa1 0.000 0.000 0.000 x4
Nb1 0.250 0.250 0.750 x4
Zn1 0.250 0.250 0.250 x4

## Properties
Energy relative to the lowest polymorph listed for this composition   0.509 eV/atom
ΔH_f (0 K)   1.070 eV/atom
Calculated density   9.416 Mg/m³
Final energy   -5.881 eV per atom

(2)
A plane-wave DFT calculation with PBE-GGA was carried out for a relaxed Al5Ni7 crystal.

Lattice parameters (Å, degrees): 4.8137 4.8137 15.4447 90.00 90.00 120.00
Space group P6_3/mmc (No. 194)
Unique sites:
Al1 0.0000 0.5000 0.0000 x6
Al2 0.3333 0.6667 0.1388 x4
Ni1 0.0000 0.0000 0.0847 x4
Ni2 0.1568 0.3136 0.2500 x6
Ni3 0.3333 0.6667 0.6460 x4

## Properties
Energy relative to the lowest polymorph listed for this composition   0.147 eV/atom
Calculated density   5.848 Mg/m³
Final energy   -4.819 eV per atom

(3)
A plane-wave DFT calculation with PBE-GGA was carried out for a relaxed TaBeIr crystal.

Lattice parameters (Å, degrees): 5.871 5.871 5.871 90.00 90.00 90.00
Space group F-43m (No. 216)
Unique sites:
Ta1 0.000 0.000 0.000 x4
Be1 0.000 0.000 0.500 x4
Ir1 0.250 0.250 0.750 x4

## Properties
Energy relative to the lowest polymorph listed for this composition   0.000 eV/atom
Calculated density   12.545 Mg/m³
Final energy   -8.207 eV per atom